# K2ReSe GGA-PBEsol relaxed
# * formation energy (no corrections): 3.44 eV/f.u.
# * raw total energy: -0.147 hartree per atom
# * magnetization: 0.00 Bohr magnetons per cell
data_K2ReSe
_cell_length_a 2.7914
_cell_length_b 5.3049
_cell_length_c 5.8003
_cell_angle_alpha 90.00
_cell_angle_beta 90.00
_cell_angle_gamma 90.00
_symmetry_space_group_name_H-M 'P m m m'
_symmetry_Int_Tables_number 47
loop_
_symmetry_equiv_pos_as_xyz
'x,y,z'
'-x,-y,-z'
'-x,-y,z'
'x,y,-z'
'x,-y,-z'
'-x,y,z'
'-x,y,-z'
'x,-y,z'
loop_
_atom_site_label
_atom_site_type_symbol
_atom_site_fract_x
_atom_site_fract_y
_atom_site_fract_z
_atom_site_occupancy
K1 K 0.0000 0.0000 0.2453 1
Re1 Re 0.5000 0.5000 0.5000 1
Se1 Se 0.5000 0.5000 0.0000 1

---

# K2ReSe GGA-PBEsol relaxed
# * formation energy (no corrections): 1.68 eV/f.u.
# * raw total energy: -0.163 hartree per atom
# * magnetization: 0.37 Bohr magnetons per cell
data_K2ReSe
_cell_length_a 7.1469
_cell_length_b 4.1269
_cell_length_c 9.7387
_cell_angle_alpha 90.00
_cell_angle_beta 102.32
_cell_angle_gamma 90.00
_symmetry_space_group_name_H-M 'C 1 m 1'
_symmetry_Int_Tables_number 8
loop_
_symmetry_equiv_pos_as_xyz
'x,y,z'
'x,-y,z'
'x+1/2,y+1/2,z'
'x+1/2,-y+1/2,z'
loop_
_atom_site_label
_atom_site_type_symbol
_atom_site_fract_x
_atom_site_fract_y
_atom_site_fract_z
_atom_site_occupancy
K1 K 0.0000 0.0000 0.0000 1
K2 K 0.1554 0.0000 0.5357 1
Re1 Re 0.2444 0.5000 0.2679 1
Se1 Se 0.4111 0.0000 0.2679 1

---

# KRe2Se GGA-PBEsol relaxed
# * formation energy (no corrections): 5.04 eV/f.u.
# * raw total energy: -0.244 hartree per atom
# * magnetization: 0.00 Bohr magnetons per cell
data_KRe2Se
_cell_length_a 6.4712
_cell_length_b 6.4712
_cell_length_c 6.4712
_cell_angle_alpha 90.00
_cell_angle_beta 90.00
_cell_angle_gamma 90.00
_symmetry_space_group_name_H-M 'F -4 3 m'
_symmetry_Int_Tables_number 216
_symmetry_space_group_name_Hall 'F -4 2 3'
loop_
_atom_site_label
_atom_site_type_symbol
_atom_site_fract_x
_atom_site_fract_y
_atom_site_fract_z
_atom_site_occupancy
K1 K 0.0000 0.0000 0.0000 1
Re1 Re 0.0000 0.0000 0.5000 1
Re2 Re 0.2500 0.2500 0.7500 1
Se1 Se 0.2500 0.2500 0.2500 1

---

# KRe2Se GGA-PBEsol relaxed
# * formation energy (no corrections): 5.44 eV/f.u.
# * raw total energy: -0.241 hartree per atom
# * magnetization: 0.00 Bohr magnetons per cell
data_KRe2Se
_cell_length_a 2.8404
_cell_length_b 4.4804
_cell_length_c 6.7332
_cell_angle_alpha 90.00
_cell_angle_beta 90.00
_cell_angle_gamma 90.00
_symmetry_space_group_name_H-M 'P m m m'
_symmetry_Int_Tables_number 47
loop_
_symmetry_equiv_pos_as_xyz
'x,y,z'
'-x,-y,-z'
'-x,-y,z'
'x,y,-z'
'x,-y,-z'
'-x,y,z'
'-x,y,-z'
'x,-y,z'
loop_
_atom_site_label
_atom_site_type_symbol
_atom_site_fract_x
_atom_site_fract_y
_atom_site_fract_z
_atom_site_occupancy
K1 K 0.0000 0.0000 0.0000 1
Re1 Re 0.5000 0.5000 0.3351 1
Se1 Se 0.0000 0.0000 0.5000 1